1.
Entry from Alexandria: CaSb2IN after structural relaxation (PBE).

Summary:
Raw formation energy   0.25 eV/atom

Cell: 4.897 4.897 4.955 Å, 90.00 90.00 90.00°
Positions (direct):
Sb1 0.000 0.500 0.000
I1 0.000 0.000 0.500
Sb2 0.500 0.000 0.000
Ca1 0.500 0.500 0.500
N1 0.000 0.000 0.000

***

2.
Entry from Alexandria: Pr2YNi2 after structural relaxation (PBE).

Summary:
Energy relative to the elements   -15.1 kJ per mole of atoms

Cell: 4.021 5.625 6.873 Å, 114.27 107.01 90.00°
Positions (direct):
Pr1 0.668 0.668 0.336
Pr2 0.332 0.332 0.664
Ni1 0.340 0.839 0.680
Ni2 0.660 0.161 0.320
Y1 0.000 0.000 0.000

***

no.,total magnetization (Bohr magnetons per cell),distance to the lowest polymorph of the same formula (eV/atom),volume (Å³/f.u.)
1,0.00,0.000,119
2,0.00,0.076,134